Record 1
The following is a DFT calculation (PBE-GGA) of AlCuPd after structural relaxation.

M_tot (μB per formula unit): 0.000
Crystal system: trigonal
Relative energy among the computed polymorphs (meV/atom): 98
E (eV per atom): -4.816

Cell and atoms, written as POSCAR:
```
AlCuPd
1.0
2.791 0.000 0.000
0.000 4.157 0.000
0.000 -2.078 3.600
Cu Pd Al
1 1 1
Direct
0.252 0.333 0.667 Cu
0.688 0.667 0.333 Pd
0.061 0.000 0.000 Al
```

=====

Record 2
The following is a DFT calculation (PBE-GGA) of Al4CuPd3 after structural relaxation.

M_tot (μB per formula unit): 0.000
Crystal system: tetragonal
E (eV per atom): -5.039

Cell and atoms, written as POSCAR:
```
Al4CuPd3
1.0
-0.262 -2.766 -1.316
0.448 -1.341 2.730
-11.926 0.161 2.035
Pd Al Cu
3 4 1
Direct
0.500 0.500 0.243 Pd
0.500 0.500 0.500 Pd
0.500 0.500 0.757 Pd
0.000 0.000 0.878 Al
0.000 0.000 0.122 Al
0.000 0.000 0.374 Al
0.000 0.000 0.626 Al
0.500 0.500 0.000 Cu
```

=====

Record 3
The following is a DFT calculation (PBE-GGA) of AlCuPd6 after structural relaxation.

M_tot (μB per formula unit): 0.001
Crystal system: tetragonal
Relative energy among the computed polymorphs (meV/atom): 0
E (eV per atom): -5.201

Cell and atoms, written as POSCAR:
```
AlCuPd6
1.0
-3.143 0.984 -2.010
0.374 -4.714 -2.891
-3.193 -2.547 3.747
Al Cu Pd
1 1 6
Direct
0.500 0.000 0.000 Al
0.500 0.500 0.500 Cu
0.000 0.752 0.248 Pd
0.000 0.248 0.752 Pd
0.000 0.752 0.752 Pd
0.000 0.248 0.248 Pd
0.500 0.500 0.000 Pd
0.500 0.000 0.500 Pd
```

=====

Record 4
The following is a DFT calculation (PBE-GGA) of Al3CuPd2 after structural relaxation.

M_tot (μB per formula unit): 0.000
Crystal system: trigonal
E (eV per atom): -4.939

Cell and atoms, written as POSCAR:
```
Al3CuPd2
1.0
-1.190 -3.502 2.184
-0.751 0.257 -4.221
4.735 -2.219 -0.977
Al Cu Pd
3 1 2
Direct
0.000 0.000 0.500 Al
0.667 0.333 0.838 Al
0.333 0.667 0.162 Al
0.000 0.000 0.000 Cu
0.667 0.333 0.333 Pd
0.333 0.667 0.667 Pd
```

=====

Record 5
The following is a DFT calculation (PBE-GGA) of AlCu2Pd8 after structural relaxation.

M_tot (μB per formula unit): 0.000
Crystal system: monoclinic
Relative energy among the computed polymorphs (meV/atom): 252
E (eV per atom): -4.816

Cell and atoms, written as POSCAR:
```
AlCu2Pd8
1.0
4.608 0.296 0.254
1.019 6.396 -0.259
1.019 0.736 6.359
Al Cu Pd
1 2 8
Direct
0.000 0.000 0.000 Al
0.468 0.137 0.137 Cu
0.532 0.863 0.863 Cu
0.803 0.154 0.676 Pd
0.197 0.324 0.846 Pd
0.889 0.263 0.263 Pd
0.111 0.737 0.737 Pd
0.803 0.676 0.154 Pd
0.197 0.846 0.324 Pd
0.299 0.420 0.420 Pd
0.701 0.580 0.580 Pd
```

=====

Record 6
The following is a DFT calculation (PBE-GGA) of AlCu2Pd after structural relaxation.

M_tot (μB per formula unit): 0.000
Crystal system: tetragonal
E (eV per atom): -4.690

Cell and atoms, written as POSCAR:
```
AlCu2Pd
1.0
-2.462 2.933 0.747
-2.413 -2.395 1.450
1.548 0.452 3.326
Cu Pd Al
2 1 1
Direct
0.000 0.000 0.500 Cu
0.000 0.500 0.000 Cu
0.500 0.000 0.000 Pd
0.500 0.500 0.500 Al
```

=====

no.,calculated density (kg/m3),formation energy (meV per atom)
1,7830,-472
2,7126,-708
3,10212,-327
4,6982,-654
5,9032,45
6,8115,-408